Below is a geometry-optimized Cs2PaTlBr8 structure, with properties calculated at the GGA-PBE level. Values from VASP.

The formation energy without anion corrections is -1.44 eV/atom. The spin magnetization comes out at 0.05 μB per cell. As for the space-group type: P-1 (2).

```
&SYSTEM
  ibrav = 0, nat = 12, ntyp = 4
/
ATOMIC_SPECIES
Cs 132.91 Cs.upf
Pa 231.04 Pa.upf
Tl 204.38 Tl.upf
Br 79.90 Br.upf
CELL_PARAMETERS angstrom
-7.660 -0.073 3.376
-2.548 -2.412 -6.157
1.534 -9.848 3.218
ATOMIC_POSITIONS angstrom
Cs -3.970 -8.517 0.995
Cs -4.703 -3.817 -0.557
Pa 0.000 0.000 0.000
Tl 0.767 -4.924 1.609
Br -2.498 -3.681 -3.757
Br -5.987 -11.848 0.621
Br -7.133 -2.449 2.171
Br -6.175 -8.652 4.194
Br -2.686 -0.485 -0.184
Br -1.540 -9.884 -1.734
Br -6.492 -6.729 -0.464
Br -2.181 -5.605 0.901
```